# PrSnGe2, relaxed, DFT PBE-GGA
data_PrSnGe2
_space_group_name_H-M_alt 'P 1'
_space_group_IT_number 1
_space_group_name_Hall 'P 1'
_cell_length_a 4.9729
_cell_length_b 4.9729
_cell_length_c 7.5875
_cell_angle_alpha 70.87
_cell_angle_beta 70.87
_cell_angle_gamma 60.00
loop_
_atom_site_label
_atom_site_type_symbol
_atom_site_fract_x
_atom_site_fract_y
_atom_site_fract_z
Sn1 Sn 0.0000 0.0000 0.0000
Ge1 Ge 0.8790 0.8790 0.3631
Pr1 Pr 0.5000 0.5000 0.5000
Ge2 Ge 0.1210 0.1210 0.6369
# - V (Å³/cell) = 150.42
# - formation enthalpy at 0 K (eV per formula unit) = 0.947
# - crystal system = trigonal
# - symmetry = R-3m, No. 166